1.
A relaxed structure of BaAuF3, computed with PBEsol.

Cell and atoms, written as POSCAR:
```
BaAuF3
1.0
4.5643 0.0000 0.0000
0.0000 4.5643 0.0000
0.0000 0.0000 4.5643
F Ba Au
3 1 1
direct
0.0000 0.0000 0.5000
0.0000 0.5000 0.0000
0.5000 0.0000 0.0000
0.5000 0.5000 0.5000
0.0000 0.0000 0.0000
```

Summary:
**Calculated total energy**: -4.33 eV/atom
**Formation energy without anion corrections**: -1962 meV per atom
**Fermi-level density of states**: 0.302 states/eV per atom



2.
A relaxed structure of LiMg3, computed with PBEsol.

Cell and atoms, written as POSCAR:
```
LiMg3
1.0
-2.7728 -1.8013 -2.9059
1.3112 -4.0156 1.2380
-2.4233 2.8228 3.8966
Mg Li
3 1
direct
0.2500 0.7500 0.5000
0.5000 0.5000 0.0000
0.7500 0.2500 0.5000
0.0000 0.0000 0.0000
```

Summary:
**Calculated total energy**: -1.80 eV/atom
**Fermi-level density of states**: 0.447 states/eV per atom
**Energy of formation from the pure elements**: -0.02 eV per atom



3.
A relaxed structure of YTa2Mn, computed with PBEsol.

Cell and atoms, written as POSCAR:
```
YTa2Mn
1.0
-2.3836 -3.0622 -0.8103
-0.7321 -0.4541 3.8695
-2.1255 4.7177 -1.8792
Y Ta Mn
1 2 1
direct
0.5000 0.5000 0.0000
0.2500 0.7500 0.5000
0.7500 0.2500 0.5000
0.0000 0.0000 0.0000
```

Summary:
**Calculated total energy**: -9.93 eV/atom
**E above lowest polymorph**: 151 meV per atom
**Fermi-level density of states**: 1.368 states/eV per atom
**Energy of formation from the pure elements**: 0.50 eV per atom



4.
A relaxed structure of Ti2HgBi2, computed with PBEsol.

Cell and atoms, written as POSCAR:
```
Ti2HgBi2
1.0
3.8051 0.0000 0.0000
0.0000 7.5550 0.0000
0.0000 0.0000 7.5550
Ti Hg Bi
4 2 4
direct
0.0000 0.3646 0.8646
0.0000 0.6354 0.1354
0.0000 0.1354 0.3646
0.0000 0.8646 0.6354
0.0000 0.5000 0.5000
0.0000 0.0000 0.0000
0.5000 0.1604 0.6604
0.5000 0.8396 0.3396
0.5000 0.3396 0.1604
0.5000 0.6604 0.8396
```

Summary:
**Calculated total energy**: -5.29 eV/atom
**Fermi-level density of states**: 0.890 states/eV per atom
**Energy of formation from the pure elements**: -0.13 eV per atom



Repeat the first record exactly.
A relaxed structure of BaAuF3, computed with PBEsol.

Cell and atoms, written as POSCAR:
```
BaAuF3
1.0
4.5643 0.0000 0.0000
0.0000 4.5643 0.0000
0.0000 0.0000 4.5643
F Ba Au
3 1 1
direct
0.0000 0.0000 0.5000
0.0000 0.5000 0.0000
0.5000 0.0000 0.0000
0.5000 0.5000 0.5000
0.0000 0.0000 0.0000
```

Summary:
**Calculated total energy**: -4.33 eV/atom
**Formation energy without anion corrections**: -1962 meV per atom
**Fermi-level density of states**: 0.302 states/eV per atom



Question: What is the Fermi-level density of states in the fourth record?
Answer: 0.890 states/eV per atom



Question: Which value of Fermi-level density of states does entry 3 give?
Answer: 1.368 states/eV per atom